Here is a relaxed structure of GeAsIr3 from Alexandria via LeMat-Bulk. Energies are from PBE.

Values from the calculation:
Energy of formation (meV/atom): 1189
Energy above the most stable polymorph in this dataset (meV per atom): 130
Total magnetic moment (μB/cell): 0.0

Lattice parameters (Å, degrees): 4.5763 4.5763 4.5763 90.00 90.00 90.00
Last column: nearest neighbours and their distance in Å.
Sites, in units of the cell vectors:
Ir  0.0000  0.0000  0.5000  2 Ge 2.29
Ir  0.0000  0.5000  0.0000  2 Ge 2.29
Ge  0.0000  0.0000  0.0000  6 Ir 2.29
As  0.5000  0.5000  0.5000  12 Ir 3.24
Ir  0.5000  0.0000  0.0000  2 Ge 2.29

***

Here is a relaxed structure of La3Th5Bi8 from Alexandria via LeMat-Bulk. Energies are from PBE.

Values from the calculation:
Energy of formation (meV/atom): -757
Total magnetic moment (μB/cell): 0.0

Lattice parameters (Å, degrees): 9.2571 9.2571 9.2722 60.05 60.05 60.00
Last column: nearest neighbours and their distance in Å.
Sites, in units of the cell vectors:
Th  0.0000  0.5000  0.0000  6 Bi 3.25-3.26
Bi  0.2500  0.2500  0.7529  4 Th 3.26-3.28, 2 La 3.29
La  0.0000  0.5000  0.5000  6 Bi 3.29-3.30
Bi  0.7500  0.7500  0.2471  4 Th 3.26-3.28, 2 La 3.29
Th  0.0000  0.0000  0.0000  6 Bi 3.28
Th  0.5000  0.5000  0.0000  6 Bi 3.25-3.26
Bi  0.2529  0.7500  0.2471  4 Th 3.26-3.28, 2 La 3.29
Bi  0.7483  0.7483  0.7552  3 Th 3.25, 3 La 3.30
La  0.5000  0.0000  0.5000  6 Bi 3.29-3.30
Bi  0.7500  0.2529  0.2471  4 Th 3.26-3.28, 2 La 3.29
La  0.0000  0.0000  0.5000  6 Bi 3.29-3.30
Bi  0.7471  0.2500  0.7529  4 Th 3.26-3.28, 2 La 3.29
Bi  0.2517  0.2517  0.2448  3 Th 3.25, 3 La 3.30
Th  0.5000  0.5000  0.5000  6 Bi 3.28
Th  0.5000  0.0000  0.0000  6 Bi 3.25-3.26
Bi  0.2500  0.7471  0.7529  4 Th 3.26-3.28, 2 La 3.29

***

Here is a relaxed structure of PrGa3Pd3 from Alexandria via LeMat-Bulk. Energies are from PBE.

Values from the calculation:
Energy of formation (meV/atom): -695
Energy above the most stable polymorph in this dataset (meV per atom): 0
Total magnetic moment (μB/cell): 0.0

Lattice parameters (Å, degrees): 7.9597 7.9597 7.9597 90.00 90.00 90.00
Last column: nearest neighbours and their distance in Å.
Sites, in units of the cell vectors:
Ga  0.5774  0.0205  0.6903  5 Pd 2.61-2.84, 2 Ga 2.75
Ga  0.0205  0.6903  0.5774  5 Pd 2.61-2.84, 2 Ga 2.75
Pd  0.1208  0.3792  0.6208  3 Ga 2.62, 1 Pd 2.76
Pr  0.4429  0.4429  0.4429  4 Pd 2.97-3.25, 6 Ga 2.99-3.11
Ga  0.4795  0.3097  0.0774  5 Pd 2.61-2.84, 2 Ga 2.75
Ga  0.4226  0.5205  0.8097  5 Pd 2.61-2.84, 2 Ga 2.75
Pd  0.1788  0.8212  0.3212  6 Ga 2.61-2.84, 1 Pd 2.76
Pd  0.6917  0.3083  0.8083  6 Ga 2.64-2.73
Pd  0.8792  0.8792  0.8792  3 Ga 2.62, 1 Pd 2.76
Pd  0.8212  0.3212  0.1788  6 Ga 2.61-2.84, 1 Pd 2.76
Pd  0.1917  0.1917  0.1917  6 Ga 2.64-2.73
Pd  0.8083  0.6917  0.3083  6 Ga 2.64-2.73
Ga  0.8097  0.4226  0.5205  5 Pd 2.61-2.84, 2 Ga 2.75
Pd  0.6788  0.6788  0.6788  6 Ga 2.61-2.84, 1 Pd 2.76
Ga  0.9795  0.1903  0.9226  5 Pd 2.61-2.84, 2 Ga 2.75
Ga  0.0774  0.4795  0.3097  5 Pd 2.61-2.84, 2 Ga 2.75
Ga  0.1903  0.9226  0.9795  5 Pd 2.61-2.84, 2 Ga 2.75
Pd  0.3083  0.8083  0.6917  6 Ga 2.64-2.73
Ga  0.6903  0.5774  0.0205  5 Pd 2.61-2.84, 2 Ga 2.75
Pr  0.9429  0.0571  0.5571  4 Pd 2.97-3.25, 6 Ga 2.99-3.11
Ga  0.3097  0.0774  0.4795  5 Pd 2.61-2.84, 2 Ga 2.75
Ga  0.9226  0.9795  0.1903  5 Pd 2.61-2.84, 2 Ga 2.75
Pd  0.6208  0.1208  0.3792  3 Ga 2.62, 1 Pd 2.76
Pr  0.5571  0.9429  0.0571  4 Pd 2.97-3.25, 6 Ga 2.99-3.11
Ga  0.5205  0.8097  0.4226  5 Pd 2.61-2.84, 2 Ga 2.75
Pd  0.3792  0.6208  0.1208  3 Ga 2.62, 1 Pd 2.76
Pd  0.3212  0.1788  0.8212  6 Ga 2.61-2.84, 1 Pd 2.76
Pr  0.0571  0.5571  0.9429  4 Pd 2.97-3.25, 6 Ga 2.99-3.11

***

Here is a relaxed structure of FeSbHPd2 from Alexandria via LeMat-Bulk. Energies are from PBE.

Values from the calculation:
E (eV for the cell shown): -26.43
Total magnetic moment (μB/cell): 0.0

Lattice parameters (Å, degrees): 3.9912 3.9912 4.0130 90.00 90.00 90.00
Last column: nearest neighbours and their distance in Å.
Sites, in units of the cell vectors:
H  0.0000  0.0000  0.0000  4 Pd 2.00, 2 Fe 2.01
Pd  0.0000  0.5000  0.0000  2 H 2.00
Pd  0.5000  0.0000  0.0000  2 H 2.00
Sb  0.5000  0.5000  0.5000  4 Fe 2.82, 8 Pd 2.83
Fe  0.0000  0.0000  0.5000  2 H 2.01

***

Here is a relaxed structure of La2TlF from Alexandria via LeMat-Bulk. Energies are from PBE.

Values from the calculation:
Energy above the most stable polymorph in this dataset (meV per atom): 196
Total magnetic moment (μB/cell): 0.0

Lattice parameters (Å, degrees): 3.4773 3.4773 8.1717 90.00 90.00 90.00
Last column: nearest neighbours and their distance in Å.
Sites, in units of the cell vectors:
F  0.5000  0.5000  0.0000  8 La 3.06
Tl  0.5000  0.5000  0.5000  8 La 3.34, 4 Tl 3.48
La  0.0000  0.0000  0.7767  4 F 3.06, 4 Tl 3.34
La  0.0000  0.0000  0.2233  4 F 3.06, 4 Tl 3.34

***

Here is a relaxed structure of TcRh2Br from Alexandria via LeMat-Bulk. Energies are from PBE.

Values from the calculation:
Energy above the most stable polymorph in this dataset (meV per atom): 367
Total magnetic moment (μB/cell): 0.8

Lattice parameters (Å, degrees): 2.8521 2.8521 9.1842 90.00 90.00 120.43
Last column: nearest neighbours and their distance in Å.
Sites, in units of the cell vectors:
Rh  0.0000  0.0000  0.0053  8 Rh 2.70-2.85, 2 Br 2.76
Tc  0.0000  0.0000  0.4920  2 Rh 2.60, 2 Br 2.74, 6 Tc 2.83-2.85
Rh  0.5000  0.5000  0.2551  2 Tc 2.60, 8 Rh 2.70-2.85
Br  0.5000  0.5000  0.7476  2 Tc 2.74, 2 Rh 2.76, 6 Br 2.83-2.85